## V2TcO6 (GGA+U)

Data for a relaxed V2TcO6 crystal.

a b c (Å): 4.4891 8.7441 8.7441
angles (deg): 120.00 90.00 90.00
With the nearest neighbours (Å) after each atom.
Sites, in units of the cell vectors:
O (0.7901, 0.7694, 0.8847)  1 Tc 1.98, 2 V 1.99
O (0.7586, 0.4521, 0.2261)  1 Tc 1.96, 2 V 2.03
O (0.2099, 0.2306, 0.1153)  1 Tc 1.98, 2 V 1.99
O (0.7901, 0.1153, 0.8847)  1 Tc 1.98, 2 V 1.99
O (0.2521, 0.8820, 0.4410)  2 V 1.97, 1 Tc 2.01
O (0.7479, 0.4410, 0.8820)  2 V 1.97, 1 Tc 2.01
O (0.2521, 0.5590, 0.1180)  2 V 1.97, 1 Tc 2.01
O (0.2099, 0.8847, 0.1153)  1 Tc 1.98, 2 V 1.99
O (0.7586, 0.7739, 0.5479)  1 Tc 1.96, 2 V 2.03
O (0.7479, 0.4410, 0.5590)  2 V 1.97, 1 Tc 2.01
O (0.2521, 0.5590, 0.4410)  2 V 1.97, 1 Tc 2.01
O (0.2414, 0.2261, 0.4521)  1 Tc 1.96, 2 V 2.03
O (0.7901, 0.1153, 0.2306)  1 Tc 1.98, 2 V 1.99
O (0.2414, 0.2261, 0.7739)  1 Tc 1.96, 2 V 2.03
O (0.7586, 0.7739, 0.2261)  1 Tc 1.96, 2 V 2.03
O (0.2099, 0.8847, 0.7694)  1 Tc 1.98, 2 V 1.99
O (0.7479, 0.1180, 0.5590)  2 V 1.97, 1 Tc 2.01
O (0.2414, 0.5479, 0.7739)  1 Tc 1.96, 2 V 2.03
V (0.0000, 0.6533, 0.6533)  6 O 1.97-2.03
V (0.0000, 0.3467, 0.0000)  6 O 1.97-2.03
V (0.0000, 0.6533, 0.0000)  6 O 1.97-2.03
V (0.0000, 0.0000, 0.6533)  6 O 1.97-2.03
V (0.0000, 0.0000, 0.3467)  6 O 1.97-2.03
V (0.0000, 0.3467, 0.3467)  6 O 1.97-2.03
Tc (0.5142, 0.6667, 0.3333)  6 O 1.96-2.01
Tc (0.4858, 0.3333, 0.6667)  6 O 1.96-2.01
Tc (0.0000, 0.0000, 0.0000)  6 O 1.98

## Properties
The total energy comes out at -7.78 eV/atom.